Ho2HfThP4 | GGA-PBE | optimized geometry

energy of formation: -1.47 eV per atom
density of states at the Fermi level: 3.661 states/eV/cell
VASP energy: -7.49 eV per atom

Cell and atoms, written as POSCAR:
```
Ho2HfThP4
1.0
6.8503 0.0000 0.0000
0.0000 3.9558 0.0000
-2.2742 0.0000 6.4628
Ho Hf Th P
2 1 1 4
Cartesian
0.0000 0.0000 0.0000
3.4251 1.9779 0.0000
-1.1371 1.9779 3.2314
2.2880 0.0000 3.2314
-0.0846 0.0000 4.7843
1.0436 1.9779 1.6127
3.5325 1.9779 4.8502
4.6607 0.0000 1.6786
```